1.
HoEr6Sc2 | PBE | relaxed

a b c (Å): 9.562 9.562 3.543
angles (deg): 90.00 90.00 124.36
Element x y z (fractional)
Ho 0.000 0.000 0.000
Er 0.152 0.479 0.000
Er 0.319 0.319 0.500
Er 0.479 0.152 0.000
Er 0.521 0.848 0.000
Er 0.681 0.681 0.500
Er 0.848 0.521 0.000
Sc 0.188 0.812 0.500
Sc 0.812 0.188 0.500

Properties
Total magnetic moment, μB per formula unit: 0.0
Formation energy, kJ/mol of formula units: 133
Total DFT energy (no corrections), eV/atom: -4.804
D(E_F), states/eV/atom: 1.345
Symmetry: Cmmm
Energy above the most stable polymorph in this dataset, meV per atom: 19

2.
Zr5HN4 | PBE | relaxed

a b c (Å): 8.602 8.602 8.602
angles (deg): 158.29 148.59 38.51
Element x y z (fractional)
Zr 0.000 0.000 0.000
Zr 0.198 0.198 0.000
Zr 0.399 0.399 0.000
Zr 0.601 0.601 0.000
Zr 0.802 0.802 0.000
H 0.500 0.000 0.500
N 0.101 0.601 0.500
N 0.299 0.799 0.500
N 0.701 0.201 0.500
N 0.899 0.399 0.500

Properties
Total magnetic moment, μB per formula unit: 0.0
Total DFT energy (no corrections), eV/atom: -9.385
D(E_F), states/eV/atom: 0.338
Symmetry: Immm

3.
LaZr4Cr | PBE | relaxed

a b c (Å): 5.962 5.962 5.962
angles (deg): 60.00 60.00 60.00
Element x y z (fractional)
La 0.000 0.000 0.000
Zr 0.125 0.625 0.625
Zr 0.625 0.125 0.625
Zr 0.625 0.625 0.125
Zr 0.625 0.625 0.625
Cr 0.250 0.250 0.250

Properties
Total magnetic moment, μB per formula unit: 2.8
Formation energy, kJ/mol of formula units: 299
Total DFT energy (no corrections), eV/atom: -7.608
D(E_F), states/eV/atom: 1.609
Symmetry: F-43m